VASP calculation (GGA-PBE) on a relaxed structure of KLuSn2.

Geometry as POSCAR:
```
KLuSn2
1.0
4.003 0.000 0.000
0.000 4.003 0.000
0.000 0.000 7.911
K Lu Sn
1 1 2
Direct
0.500 0.500 0.500
0.500 0.500 0.000
0.000 0.000 0.813
0.000 0.000 0.187
```

Computed properties:
energy above the lowest structure with this stoichiometry: 0.0 meV/atom
density of states at the Fermi level: 1.922 states/eV per cell
electronic total energy: -3.784 eV per atom
total magnetization: 0.00 μB per cell
calculated formation energy: -0.3778 eV per atom

---

VASP calculation (GGA-PBE) on a relaxed structure of La3DyHo6Er2.

Geometry as POSCAR:
```
La3DyHo6Er2
1.0
-4.993 2.269 2.901
4.231 -3.238 3.180
6.056 10.158 0.267
La Dy Ho Er
3 1 6 2
Direct
0.167 0.833 0.500
0.833 0.167 0.500
0.500 0.500 0.500
0.000 0.000 0.000
0.919 0.586 0.756
0.747 0.747 0.244
0.081 0.414 0.244
0.586 0.919 0.756
0.253 0.253 0.756
0.414 0.081 0.244
0.333 0.667 0.000
0.667 0.333 0.000
```

Computed properties:
density of states at the Fermi level: 16.795 states/eV per cell
electronic total energy: -4.640 eV per atom
total magnetization: 0.00 μB per cell
calculated formation energy: 0.0248 eV per atom

---

VASP calculation (GGA-PBE) on a relaxed structure of Ce12MgOs7.

Geometry as POSCAR:
```
Ce12MgOs7
1.0
-6.292 -5.834 1.439
3.779 -1.436 -7.705
5.907 -0.255 6.383
Ce Mg Os
12 1 7
Direct
0.854 0.351 0.710
0.649 0.290 0.146
0.412 0.103 0.302
0.897 0.698 0.588
0.290 0.146 0.649
0.698 0.588 0.897
0.302 0.412 0.103
0.710 0.854 0.351
0.103 0.302 0.412
0.588 0.897 0.698
0.351 0.710 0.854
0.146 0.649 0.290
0.000 0.000 0.000
0.097 0.725 0.972
0.275 0.028 0.903
0.028 0.903 0.275
0.500 0.500 0.500
0.972 0.097 0.725
0.725 0.972 0.097
0.903 0.275 0.028
```

Computed properties:
density of states at the Fermi level: 42.055 states/eV per cell
electronic total energy: -7.648 eV per atom
total magnetization: 3.31 μB per cell
calculated formation energy: -0.0774 eV per atom